Compound: AcNd2Y
Source: Alexandria via LeMat-Bulk
Functional: PBE
Structure: relaxed

Unit cell a=3.764 b=5.274 c=7.393 alpha=90.00 beta=90.00 gamma=90.00
Fractional coordinates of all 4 atoms:
Ac (0.000, 0.000, 0.000)
Nd (0.500, 0.500, 0.260)
Nd (0.500, 0.500, 0.740)
Y (0.000, 0.000, 0.500)

Properties
The value obtained for the total magnetic moment is 0.0 μB per cell. Its distance to the lowest polymorph of the same formula is 0.0000 eV per atom. For the mass density, the calculation gives 6.84 Mg/m³. Its calculated volume is 147 Å³ per cell. As for the electronic total energy: -20.00 eV for the cell shown. The energy of formation from the pure elements comes out at 0.11 eV per formula unit.

=====

Compound: YSc2W
Source: Alexandria via LeMat-Bulk
Functional: PBE
Structure: relaxed

Unit cell a=3.265 b=3.265 c=8.828 alpha=90.00 beta=90.00 gamma=90.00
Fractional coordinates of all 4 atoms:
Y (0.000, 0.000, 0.000)
Sc (0.500, 0.500, 0.308)
Sc (0.500, 0.500, 0.692)
W (0.000, 0.000, 0.500)

Properties
The value obtained for the total magnetic moment is 0.0 μB per cell. Its distance to the lowest polymorph of the same formula is 0.0000 eV per atom. For the mass density, the calculation gives 6.40 Mg/m³. Its calculated volume is 94 Å³ per cell. As for the electronic total energy: -31.02 eV for the cell shown. The energy of formation from the pure elements comes out at 1.06 eV per formula unit.

=====

Compound: Li2SmAg
Source: Alexandria via LeMat-Bulk
Functional: PBE
Structure: relaxed

Unit cell a=4.221 b=7.975 c=5.712 alpha=90.00 beta=111.61 gamma=90.00
Fractional coordinates of all 8 atoms:
Li (0.152, 0.055, 0.304)
Li (0.152, 0.445, 0.304)
Li (0.848, 0.555, 0.696)
Li (0.848, 0.945, 0.696)
Sm (0.440, 0.250, 0.880)
Sm (0.560, 0.750, 0.120)
Ag (0.274, 0.750, 0.548)
Ag (0.726, 0.250, 0.452)

Properties
The value obtained for the total magnetic moment is 0.0 μB per cell. Its distance to the lowest polymorph of the same formula is 0.0000 eV per atom. For the mass density, the calculation gives 5.05 Mg/m³. Its calculated volume is 179 Å³ per cell. As for the electronic total energy: -23.51 eV for the cell shown. The energy of formation from the pure elements comes out at -0.36 eV per formula unit.

=====

Compound: ScPaAl
Source: Alexandria via LeMat-Bulk
Functional: PBE
Structure: relaxed

Unit cell a=7.208 b=7.208 c=7.208 alpha=155.23 beta=155.23 gamma=35.31
Fractional coordinates of all 3 atoms:
Sc (0.000, 0.000, 0.000)
Pa (0.313, 0.313, 0.000)
Al (0.649, 0.649, 0.000)

Properties
The value obtained for the total magnetic moment is 0.0 μB per cell. Its distance to the lowest polymorph of the same formula is 0.0000 eV per atom. For the mass density, the calculation gives 7.66 Mg/m³. Its calculated volume is 66 Å³ per cell. As for the electronic total energy: -19.98 eV for the cell shown. The energy of formation from the pure elements comes out at -0.41 eV per formula unit.

=====

Compound: Ba4NaCa
Source: Alexandria via LeMat-Bulk
Functional: PBE
Structure: relaxed

Unit cell a=7.128 b=7.128 c=13.512 alpha=115.19 beta=115.19 gamma=33.81
Fractional coordinates of all 6 atoms:
Ba (0.156, 0.156, 0.341)
Ba (0.340, 0.340, 0.158)
Ba (0.660, 0.660, 0.842)
Ba (0.844, 0.844, 0.659)
Na (0.500, 0.500, 0.500)
Ca (0.000, 0.000, 0.000)

Properties
The value obtained for the total magnetic moment is 0.0 μB per cell. Its distance to the lowest polymorph of the same formula is 0.0842 eV per atom. For the mass density, the calculation gives 2.97 Mg/m³. Its calculated volume is 342 Å³ per cell. As for the electronic total energy: -10.36 eV for the cell shown. The energy of formation from the pure elements comes out at 0.65 eV per formula unit.

=====

Compound: Rb3Ce3CuSe8
Source: Alexandria via LeMat-Bulk
Functional: PBE
Structure: relaxed

Unit cell a=8.617 b=8.617 c=9.528 alpha=118.34 beta=118.34 gamma=57.36
Fractional coordinates of all 15 atoms:
Rb (0.000, 0.000, 0.000)
Rb (0.000, 0.500, 0.000)
Rb (0.500, 0.000, 0.000)
Ce (0.000, 0.500, 0.500)
Ce (0.500, 0.000, 0.500)
Ce (0.500, 0.500, 0.500)
Cu (0.000, 0.000, 0.500)
Se (0.198, 0.761, 0.667)
Se (0.239, 0.802, 0.333)
Se (0.268, 0.268, 0.299)
Se (0.285, 0.285, 0.728)
Se (0.715, 0.715, 0.272)
Se (0.732, 0.732, 0.701)
Se (0.761, 0.198, 0.667)
Se (0.802, 0.239, 0.333)

Properties
The value obtained for the total magnetic moment is 1.8 μB per cell. For the mass density, the calculation gives 4.55 Mg/m³. The uncorrected formation energy comes out at -1.338 eV/atom. Its calculated volume is 501 Å³ per cell. As for the electronic total energy: -72.74 eV for the cell shown.